Record 1
Sm5Ho3Tm4 | PBE | optimized geometry

As for the formation energy: 2.9 eV per formula unit. The crystal system is monoclinic. The total energy is -4.3605 eV per atom. The density of states at the Fermi level is 38.970 states/eV/cell.

a b c (Å): 9.700 5.755 14.830
angles (deg): 90.00 108.96 90.00
Space group C2/m (No. 12)
Inequivalent atoms, fractional coordinates:
1 Sm 0.000 0.000 0.000
2 Sm 0.045 0.500 0.247
3 Sm 0.167 0.500 0.499
4 Ho 0.000 0.500 0.000
5 Ho 0.206 0.000 0.250
6 Tm 0.061 0.000 0.624
7 Tm 0.177 0.000 0.856

***

Record 2
Sm5HoTm6 | PBE | optimized geometry

As for the formation energy: 0.3 eV per formula unit. The crystal system is orthorhombic. The total energy is -4.5623 eV per atom. The density of states at the Fermi level is 31.321 states/eV/cell.

a b c (Å): 5.029 9.970 15.103
angles (deg): 90.00 90.00 90.00
Space group Immm (No. 71)
Inequivalent atoms, fractional coordinates:
1 Sm 0.000 0.000 0.000
2 Sm 0.000 0.000 0.334
3 Sm 0.000 0.500 0.333
4 Ho 0.000 0.500 0.000
5 Tm 0.000 0.249 0.500
6 Tm 0.000 0.251 0.166

***

Record 3
Sm8Ho5Tm | PBE | optimized geometry

As for the formation energy: 3.6 eV per formula unit. The crystal system is monoclinic. The total energy is -4.3925 eV per atom. The density of states at the Fermi level is 41.446 states/eV/cell.

a b c (Å): 13.604 10.174 9.628
angles (deg): 90.00 134.86 90.00
Space group C2 (No. 5)
Inequivalent atoms, fractional coordinates:
1 Sm 0.069 0.000 0.242
2 Sm 0.090 0.341 0.412
3 Sm 0.174 0.688 0.105
4 Sm 0.177 0.847 0.765
5 Ho 0.000 0.094 0.500
6 Ho 0.108 0.668 0.402
7 Ho 0.206 0.519 0.815
8 Tm 0.000 0.344 0.000

***

Record 4
Sm6Ho2Tm | PBE | optimized geometry

As for the formation energy: 1.0 eV per formula unit. For the offset from the most stable computed form, the calculation gives 0.000 eV per atom. The crystal system is monoclinic. The total energy is -4.5442 eV per atom. The density of states at the Fermi level is 49.197 states/eV/cell.

a b c (Å): 12.836 14.422 6.646
angles (deg): 90.00 104.79 90.00
Space group C2/c (No. 15)
Inequivalent atoms, fractional coordinates:
1 Sm 0.036 0.183 0.005
2 Sm 0.133 0.410 0.818
3 Sm 0.239 0.201 0.722
4 Ho 0.143 0.023 0.367
5 Tm 0.000 0.381 0.250

***

Record 5
Sm3Ho3Tm | PBE | optimized geometry

As for the formation energy: 0.1 eV per formula unit. For the offset from the most stable computed form, the calculation gives 0.000 eV per atom. The crystal system is hexagonal. The total energy is -4.6069 eV per atom. The density of states at the Fermi level is 25.725 states/eV/cell.

a b c (Å): 9.5678 9.5678 5.7028
angles (deg): 90.00 90.00 120.00
Space group P6_3/m (No. 176)
Inequivalent atoms, fractional coordinates:
1 Sm 0.0481 0.8065 0.2500
2 Ho 0.0950 0.6175 0.7500
3 Tm 0.3333 0.6667 0.2500

***

Record 6
Sm2Ho5Tm3 | PBE | optimized geometry

As for the formation energy: 4.2 eV per formula unit. For the offset from the most stable computed form, the calculation gives 0.206 eV per atom. The crystal system is orthorhombic. The total energy is -4.1517 eV per atom. The density of states at the Fermi level is 62.941 states/eV/cell.

a b c (Å): 9.302 21.621 6.712
angles (deg): 90.00 90.00 90.00
Space group Ibam (No. 72)
Inequivalent atoms, fractional coordinates:
1 Sm 0.100 0.125 0.000
2 Ho 0.000 0.251 0.250
3 Ho 0.000 0.500 0.250
4 Ho 0.089 0.375 0.500
5 Tm 0.000 0.000 0.250
6 Tm 0.249 0.124 0.500

***

Record 7
SmHo6Tm8 | PBE | optimized geometry

As for the formation energy: 3.6 eV per formula unit. The crystal system is trigonal. The total energy is -4.2927 eV per atom. The density of states at the Fermi level is 21.643 states/eV/cell.

a b c (Å): 9.3288 9.3288 6.4111
angles (deg): 90.00 90.00 120.00
Space group P-3 (No. 147)
Inequivalent atoms, fractional coordinates:
1 Sm 0.0000 0.0000 0.0000
2 Ho 0.0992 0.4177 0.9114
3 Tm 0.0244 0.6861 0.5929
4 Tm 0.3333 0.6667 0.3383

***

Record 8
Sm4Ho8Tm | PBE | optimized geometry

As for the formation energy: 6.7 eV per formula unit. The crystal system is trigonal. The total energy is -4.1013 eV per atom. The density of states at the Fermi level is 57.487 states/eV/cell.

a b c (Å): 10.9587 10.9587 13.4001
angles (deg): 90.00 90.00 120.00
Space group R-3m (No. 166, hexagonal axes)
Inequivalent atoms, fractional coordinates:
1 Sm 0.0000 0.0000 0.0000
2 Sm 0.0000 0.5000 0.0000
3 Ho 0.0000 0.0000 0.2405
4 Ho 0.0121 0.5060 0.7465
5 Tm 0.0000 0.0000 0.5000

***

Record 9
SmHo3Tm2 | PBE | optimized geometry

As for the formation energy: 0.1 eV per formula unit. For the offset from the most stable computed form, the calculation gives 0.025 eV per atom. The crystal system is monoclinic. The total energy is -4.5439 eV per atom. The density of states at the Fermi level is 33.415 states/eV/cell.

a b c (Å): 17.286 7.056 6.105
angles (deg): 90.00 90.08 90.00
Space group C2/c (No. 15)
Inequivalent atoms, fractional coordinates:
1 Sm 0.000 0.125 0.250
2 Ho 0.000 0.376 0.750
3 Ho 0.168 0.125 0.916
4 Tm 0.167 0.375 0.417

***

Record 10
SmHo4Tm4 | PBE | optimized geometry

As for the formation energy: 0.2 eV per formula unit. The crystal system is tetragonal. The total energy is -4.5225 eV per atom. The density of states at the Fermi level is 25.110 states/eV/cell.

a b c (Å): 10.567 10.567 4.961
angles (deg): 90.00 90.00 90.00
Space group I4/mmm (No. 139)
Inequivalent atoms, fractional coordinates:
1 Sm 0.000 0.000 0.000
2 Ho 0.000 0.333 0.000
3 Tm 0.167 0.167 0.500

***

Record 11
Sm12Ho2Tm5 | PBE | optimized geometry

As for the formation energy: 2.0 eV per formula unit. For the offset from the most stable computed form, the calculation gives 0.000 eV per atom. The crystal system is monoclinic. The total energy is -4.5331 eV per atom. The density of states at the Fermi level is 53.999 states/eV/cell.

a b c (Å): 17.759 11.615 6.170
angles (deg): 90.00 102.64 90.00
Space group C2/m (No. 12)
Inequivalent atoms, fractional coordinates:
1 Sm 0.057 0.000 0.274
2 Sm 0.104 0.252 0.616
3 Sm 0.120 0.500 0.001
4 Sm 0.197 0.242 0.199
5 Ho 0.000 0.270 0.000
6 Tm 0.000 0.500 0.500
7 Tm 0.178 0.000 0.861
8 Tm 0.216 0.500 0.554

***

Record 12
Sm4Ho3Tm3 | PBE | optimized geometry

As for the formation energy: 1.0 eV per formula unit. The crystal system is orthorhombic. The total energy is -4.5054 eV per atom. The density of states at the Fermi level is 14.000 states/eV/cell.

a b c (Å): 3.762 13.061 13.049
angles (deg): 90.00 90.00 90.00
Space group Amm2 (No. 38)
Inequivalent atoms, fractional coordinates:
1 Sm 0.000 0.000 0.000
2 Sm 0.000 0.000 0.260
3 Sm 0.000 0.130 0.629
4 Ho 0.000 0.249 0.380
5 Ho 0.500 0.000 0.799
6 Tm 0.500 0.000 0.461
7 Tm 0.500 0.169 0.130

***

Record 13
Sm3Ho4Tm4 | PBE | optimized geometry

As for the formation energy: 0.2 eV per formula unit. For the offset from the most stable computed form, the calculation gives 0.000 eV per atom. The crystal system is orthorhombic. The total energy is -4.5563 eV per atom. The density of states at the Fermi level is 26.379 states/eV/cell.

a b c (Å): 3.539 4.995 38.949
angles (deg): 90.00 90.00 90.00
Space group Immm (No. 71)
Inequivalent atoms, fractional coordinates:
1 Sm 0.000 0.000 0.000
2 Sm 0.000 0.000 0.363
3 Ho 0.000 0.000 0.183
4 Ho 0.000 0.000 0.454
5 Tm 0.000 0.000 0.091
6 Tm 0.000 0.000 0.272

***

Record 14
Sm3Ho2Tm8 | PBE | optimized geometry

As for the formation energy: 2.1 eV per formula unit. For the offset from the most stable computed form, the calculation gives 0.135 eV per atom. The crystal system is monoclinic. The total energy is -4.3851 eV per atom. The density of states at the Fermi level is 19.156 states/eV/cell.

a b c (Å): 7.880 4.988 10.953
angles (deg): 90.00 99.43 90.00
Space group P2/m (No. 10)
Inequivalent atoms, fractional coordinates:
1 Sm 0.000 0.000 0.000
2 Sm 0.281 0.500 0.928
3 Ho 0.306 0.000 0.424
4 Tm 0.134 0.000 0.708
5 Tm 0.152 0.500 0.221
6 Tm 0.419 0.500 0.638
7 Tm 0.436 0.000 0.148

***

Record 15
Sm2HoTm12 | PBE | optimized geometry

As for the formation energy: 1.6 eV per formula unit. The crystal system is monoclinic. The total energy is -4.4027 eV per atom. The density of states at the Fermi level is 104.132 states/eV/cell.

a b c (Å): 7.083 11.073 23.818
angles (deg): 90.00 94.25 90.00
Space group C2/m (No. 12)
Inequivalent atoms, fractional coordinates:
1 Sm 0.069 0.000 0.280
2 Sm 0.069 0.500 0.281
3 Ho 0.250 0.000 0.000
4 Tm 0.016 0.250 0.066
5 Tm 0.033 0.000 0.134
6 Tm 0.033 0.500 0.135
7 Tm 0.111 0.250 0.445
8 Tm 0.143 0.000 0.573
9 Tm 0.144 0.500 0.573
10 Tm 0.168 0.250 0.670
11 Tm 0.203 0.250 0.809

***

Record 16
Sm4Ho2Tm5 | PBE | optimized geometry

As for the formation energy: 1.2 eV per formula unit. For the offset from the most stable computed form, the calculation gives 0.000 eV per atom. The crystal system is monoclinic. The total energy is -4.4719 eV per atom. The density of states at the Fermi level is 35.744 states/eV/cell.

a b c (Å): 19.057 5.626 6.517
angles (deg): 90.00 91.38 90.00
Space group C2/m (No. 12)
Inequivalent atoms, fractional coordinates:
1 Sm 0.023 0.000 0.283
2 Sm 0.194 0.500 0.074
3 Ho 0.099 0.500 0.554
4 Tm 0.000 0.500 0.000
5 Tm 0.131 0.000 0.887
6 Tm 0.209 0.000 0.401

***

Record 17
Sm2Ho6Tm5 | PBE | optimized geometry

As for the formation energy: 1.3 eV per formula unit. The crystal system is orthorhombic. The total energy is -4.4574 eV per atom. The density of states at the Fermi level is 33.133 states/eV/cell.

a b c (Å): 11.587 19.981 3.554
angles (deg): 90.00 90.00 90.00
Space group Pbam (No. 55)
Inequivalent atoms, fractional coordinates:
1 Sm 0.165 0.214 0.000
2 Ho 0.058 0.921 0.000
3 Ho 0.082 0.633 0.000
4 Ho 0.175 0.371 0.500
5 Tm 0.000 0.500 0.500
6 Tm 0.094 0.776 0.500
7 Tm 0.199 0.051 0.500

***

Record 18
Sm3Ho2Tm8 | PBE | optimized geometry

As for the formation energy: 0.3 eV per formula unit. For the offset from the most stable computed form, the calculation gives 0.000 eV per atom. The crystal system is triclinic. The total energy is -4.5199 eV per atom. The density of states at the Fermi level is 18.561 states/eV/cell.

a b c (Å): 6.102 6.114 11.134
angles (deg): 89.93 79.38 80.35
Space group P-1 (No. 2)
Inequivalent atoms, fractional coordinates:
1 Sm 0.000 0.000 0.000
2 Sm 0.231 0.462 0.078
3 Ho 0.384 0.770 0.462
4 Tm 0.077 0.153 0.690
5 Tm 0.154 0.308 0.386
6 Tm 0.308 0.613 0.766
7 Tm 0.462 0.925 0.157